No. 1
{"formula": "RePRh3", "functional": "PBE", "state": "optimized geometry", "formation_enthalpy_0k_ev_per_atom": 1.47, "de_polymorph_ev_per_fu": 4.157, "energy_ev_per_fu": -32.6, "space_group": "Pm-3m (221)", "lattice": [[-1.126, -2.347, -3.893], [0.664, -4.053, 2.251], [-4.497, -0.011, 1.307]], "species": ["Re", "Rh", "Rh", "Rh", "P"], "fractional_positions": [[0.000, 0.000, 0.000], [0.000, 0.500, 0.000], [0.000, 0.000, 0.500], [0.500, 0.000, 0.000], [0.500, 0.500, 0.500]]}

=====

No. 2
{"formula": "RePRh2", "functional": "PBE", "state": "optimized geometry", "formation_enthalpy_0k_ev_per_atom": 0.07, "energy_ev_per_fu": -32.3, "space_group": "Cmmm (65)", "lattice": [[2.618, -3.884, 0.000], [2.618, 3.884, 0.000], [0.000, 0.000, 2.755]], "species": ["Re", "P", "Rh", "Rh"], "fractional_positions": [[0.500, 0.500, 0.500], [0.000, 0.000, 0.500], [0.500, 0.000, 0.000], [0.000, 0.500, 0.000]]}

=====

No. 3
{"formula": "RePRh2", "functional": "PBE", "state": "optimized geometry", "formation_enthalpy_0k_ev_per_atom": -0.11, "energy_ev_per_fu": -33.0, "space_group": "R3m (160)", "lattice": [[8.114, -1.413, -0.001], [8.114, 1.413, -0.001], [7.869, 0.000, 2.434]], "species": ["Re", "P", "Rh", "Rh"], "fractional_positions": [[0.758, 0.758, 0.758], [0.500, 0.500, 0.500], [0.002, 0.002, 0.002], [0.240, 0.240, 0.240]]}

=====

No. 4
{"formula": "RePRh2", "functional": "PBE", "state": "optimized geometry", "formation_enthalpy_0k_ev_per_atom": -0.16, "energy_ev_per_fu": -33.2, "space_group": "R-3m (166)", "lattice": [[8.258, -1.394, 0.004], [8.258, 1.394, 0.004], [8.022, 0.000, 2.407]], "species": ["Re", "P", "Rh", "Rh"], "fractional_positions": [[0.500, 0.500, 0.500], [0.000, 0.000, 0.000], [0.742, 0.742, 0.742], [0.258, 0.258, 0.258]]}

=====

No. 5
{"formula": "ReP2Rh", "functional": "PBE", "state": "optimized geometry", "formation_enthalpy_0k_ev_per_atom": 0.24, "de_polymorph_ev_per_fu": 2.191, "energy_ev_per_fu": -29.6, "space_group": "Pmmm (47)", "lattice": [[2.882, 0.000, 0.000], [0.000, 5.114, 0.000], [0.000, 0.000, 3.896]], "species": ["P", "P", "Re", "Rh"], "fractional_positions": [[0.000, 0.000, 0.000], [0.500, 0.500, 0.000], [0.500, 0.000, 0.500], [0.000, 0.500, 0.500]]}

=====

No. 6
{"formula": "ReP2Rh", "functional": "PBE", "state": "optimized geometry", "formation_enthalpy_0k_ev_per_atom": -0.14, "de_polymorph_ev_per_fu": 0.647, "energy_ev_per_fu": -31.2, "space_group": "C2/m (12)", "lattice": [[4.081, 0.000, -0.018], [3.027, 2.736, -0.018], [1.022, 0.393, 4.906]], "species": ["P", "P", "Re", "Rh"], "fractional_positions": [[0.994, 0.994, 0.018], [0.506, 0.506, 0.482], [0.250, 0.250, 0.250], [0.750, 0.750, 0.750]]}

=====

No. 7
{"formula": "ReP2Rh", "functional": "PBE", "state": "optimized geometry", "formation_enthalpy_0k_ev_per_atom": -0.31, "de_polymorph_ev_per_fu": 0.000, "energy_ev_per_fu": -31.8, "space_group": "Cm (8)", "lattice": [[4.306, -0.001, 0.002], [3.146, 2.940, 0.002], [1.004, 0.396, 4.608]], "species": ["P", "P", "Re", "Rh"], "fractional_positions": [[0.005, 0.005, 0.973], [0.230, 0.230, 0.394], [0.521, 0.521, 0.357], [0.744, 0.744, 0.776]]}

=====

No. 8
{"formula": "RePRh2", "functional": "PBE", "state": "optimized geometry", "formation_enthalpy_0k_ev_per_atom": -0.24, "energy_ev_per_fu": -33.5, "space_group": "Amm2 (38)", "lattice": [[1.436, -5.232, 0.000], [1.436, 5.232, 0.000], [0.000, 0.000, 3.714]], "species": ["Re", "P", "Rh", "Rh"], "fractional_positions": [[0.554, 0.446, 0.500], [0.707, 0.293, 0.000], [0.935, 0.065, 0.000], [0.284, 0.716, 0.500]]}